# Ta2CdO4 PBE-GGA optimized geometry
# energy = -7.99 eV per atom
data_Ta2CdO4
_space_group_name_H-M_alt 'P 1'
_space_group_IT_number 1
_cell_length_a 6.3900
_cell_length_b 6.3900
_cell_length_c 6.3900
_cell_angle_alpha 60.00
_cell_angle_beta 60.00
_cell_angle_gamma 60.00
loop_
_space_group_symop_operation_xyz
'x,y,z'
loop_
_atom_site_label
_atom_site_type_symbol
_atom_site_fract_x
_atom_site_fract_y
_atom_site_fract_z
Ta1 Ta 0.0000 0.0000 0.0000
Ta2 Ta 0.0000 0.0000 0.5000
Ta3 Ta 0.0000 0.5000 0.0000
Ta4 Ta 0.5000 0.0000 0.0000
Cd1 Cd 0.3750 0.3750 0.3750
Cd2 Cd 0.6250 0.6250 0.6250
O1 O 0.2106 0.7631 0.7631
O2 O 0.2369 0.2369 0.2369
O3 O 0.2369 0.2369 0.7894
O4 O 0.2369 0.7894 0.2369
O5 O 0.7631 0.2106 0.7631
O6 O 0.7631 0.7631 0.2106
O7 O 0.7631 0.7631 0.7631
O8 O 0.7894 0.2369 0.2369